(1)
Entry from the Alexandria database: a relaxed structure of TlHPb3 (PBE).

Output
- E above lowest polymorph: 0.820 eV per atom

a = 5.957 Å, b = 5.957 Å, c = 5.957 Å
α = 90.00°, β = 90.00°, γ = 90.00°
Last column: magnetic moment on the atom in μB.
Sites, in units of the cell vectors:
Tl1 0.000 0.000 0.000  0.02
Pb1 0.500 0.000 0.000  0.03
Pb2 0.000 0.000 0.500  0.00
Pb3 0.000 0.500 0.000  0.02
H1 0.500 0.500 0.500  0.32



(2)
Entry from the Alexandria database: a relaxed structure of Mg6VZn (PBE).

Output
- E above lowest polymorph: 0.000 eV per atom

a = 6.156 Å, b = 6.156 Å, c = 4.953 Å
α = 90.00°, β = 90.00°, γ = 119.71°
Last column: magnetic moment on the atom in μB.
Sites, in units of the cell vectors:
Mg1 0.665 0.335 0.000  0.01
Mg2 0.842 0.673 0.500  -0.01
Mg3 0.327 0.158 0.500  -0.01
Mg4 0.834 0.166 0.500  -0.01
V1 0.331 0.669 0.500  2.55
Mg5 0.169 0.346 0.000  0.00
Zn1 0.178 0.822 0.000  0.00
Mg6 0.654 0.831 0.000  0.00



(3)
Entry from the Alexandria database: a relaxed structure of La4GaRe (PBE).

a = 6.371 Å, b = 8.318 Å, c = 8.318 Å
α = 113.15°, β = 104.22°, γ = 104.22°
Sites, in units of the cell vectors:
Re1 0.250 0.001 0.999
Re2 0.750 0.999 0.001
La1 0.573 0.291 0.944
La2 0.328 0.784 0.643
La3 0.672 0.216 0.357
La4 0.427 0.709 0.056
Ga1 0.750 0.624 0.376
La5 0.073 0.944 0.291
La6 0.927 0.056 0.709
La7 0.172 0.357 0.216
Ga2 0.250 0.376 0.624
La8 0.828 0.643 0.784



(4)
Entry from the Alexandria database: a relaxed structure of Sc5S6 (PBE).

a = 6.380 Å, b = 6.362 Å, c = 6.353 Å
α = 80.34°, β = 70.46°, γ = 59.91°
Sites, in units of the cell vectors:
Sc1 0.836 0.327 0.500
Sc2 0.164 0.673 0.500
S1 0.583 0.334 0.251
S2 0.249 0.000 0.247
S3 0.083 0.334 0.749
S4 0.917 0.666 0.251
Sc3 0.665 0.670 0.000
Sc4 0.500 0.000 0.500
S5 0.417 0.666 0.749
S6 0.751 0.000 0.753
Sc5 0.335 0.330 0.000



(5)
Entry from the Alexandria database: a relaxed structure of Be2Nb2Co5Cu (PBE).

a = 3.183 Å, b = 8.465 Å, c = 8.465 Å
α = 90.00°, β = 90.00°, γ = 90.00°
Sites, in units of the cell vectors:
Co1 0.500 0.787 0.931
Be1 0.000 0.617 0.883
Co2 0.500 0.069 0.787
Co3 0.500 0.569 0.713
Be2 0.000 0.383 0.117
Co4 0.500 0.713 0.431
Co5 0.500 0.431 0.287
Be3 0.000 0.117 0.617
Co6 0.500 0.287 0.569
Co7 0.500 0.213 0.069
Cu1 0.000 0.000 0.000
Be4 0.000 0.883 0.383
Co8 0.500 0.500 0.000
Nb1 0.000 0.679 0.179
Nb2 0.000 0.179 0.321
Co9 0.500 0.000 0.500
Co10 0.500 0.931 0.213
Cu2 0.000 0.500 0.500
Nb3 0.000 0.821 0.679
Nb4 0.000 0.321 0.821



(6)
Entry from the Alexandria database: a relaxed structure of MgNiRu2 (PBE).

a = 8.818 Å, b = 8.818 Å, c = 8.818 Å
α = 17.84°, β = 17.84°, γ = 17.84°
Last column: magnetic moment on the atom in μB.
Sites, in units of the cell vectors:
Ru1 0.005 0.005 0.005  0.12
Mg1 0.250 0.250 0.250  0.00
Ru2 0.495 0.495 0.495  0.12
Ni1 0.750 0.750 0.750  0.43



(7)
Entry from the Alexandria database: a relaxed structure of Mg2TlVAs (PBE).

a = 5.236 Å, b = 5.246 Å, c = 5.236 Å
α = 90.00°, β = 90.00°, γ = 90.00°
Last column: magnetic moment on the atom in μB.
Sites, in units of the cell vectors:
V1 0.000 0.000 0.000  2.96
As1 0.500 0.500 0.500  -0.08
Mg1 0.000 0.000 0.500  0.02
Mg2 0.500 0.000 0.000  0.04
Tl1 0.000 0.500 0.000  0.12



(8)
Entry from the Alexandria database: a relaxed structure of PmHo2Ag4 (PBE).

a = 6.224 Å, b = 6.224 Å, c = 6.224 Å
α = 112.20°, β = 108.13°, γ = 108.13°
Sites, in units of the cell vectors:
Ho1 0.500 0.500 0.000
Pm1 0.000 0.000 0.000
Ag1 0.000 0.000 0.500
Ag2 0.500 0.500 0.500
Ho2 0.500 0.000 0.500
Ag3 0.000 0.500 0.000
Ag4 0.500 0.000 0.000



(9)
Entry from the Alexandria database: a relaxed structure of Hf3NbPb (PBE).

Output
- E above lowest polymorph: 0.023 eV per atom

a = 8.435 Å, b = 7.690 Å, c = 7.690 Å
α = 83.34°, β = 69.61°, γ = 69.61°
Sites, in units of the cell vectors:
Hf1 0.650 0.717 0.011
Hf2 0.350 0.283 0.989
Hf3 0.940 0.785 0.608
Hf4 0.150 0.011 0.717
Hf5 0.043 0.682 0.950
Nb1 0.821 0.438 0.739
Hf6 0.543 0.950 0.682
Hf7 0.060 0.215 0.392
Nb2 0.679 0.261 0.562
Pb1 0.750 0.626 0.374
Pb2 0.250 0.374 0.626
Hf8 0.957 0.318 0.050
Pb3 0.750 0.080 0.920
Pb4 0.250 0.920 0.080
Hf9 0.850 0.989 0.283
Hf10 0.457 0.050 0.318
Nb3 0.321 0.739 0.438
Nb4 0.179 0.562 0.261
Hf11 0.560 0.392 0.215
Hf12 0.440 0.608 0.785



(10)
Entry from the Alexandria database: a relaxed structure of LiYSc2Pt4 (PBE).

a = 4.572 Å, b = 4.572 Å, c = 8.488 Å
α = 74.37°, β = 74.37°, γ = 60.00°
Sites, in units of the cell vectors:
Pt1 0.392 0.392 0.824
Sc1 0.762 0.762 0.715
Y1 0.000 0.000 0.000
Pt2 0.608 0.608 0.176
Pt3 0.125 0.125 0.625
Sc2 0.238 0.238 0.285
Pt4 0.875 0.875 0.375
Li1 0.500 0.500 0.500



(11)
Entry from the Alexandria database: a relaxed structure of TeSe (PBE).

a = 8.256 Å, b = 8.256 Å, c = 8.256 Å
α = 90.00°, β = 90.00°, γ = 90.00°
Sites, in units of the cell vectors:
Se1 0.500 0.250 0.000
Se2 0.000 0.500 0.250
Se3 0.000 0.500 0.750
Te1 0.750 0.500 0.000
Se4 0.500 0.750 0.000
Te2 0.000 0.750 0.500
Te3 0.500 0.000 0.250
Se5 0.250 0.000 0.500
Se6 0.750 0.000 0.500
Te4 0.500 0.000 0.750
Te5 0.250 0.500 0.000
Te6 0.000 0.250 0.500



(12)
Entry from the Alexandria database: a relaxed structure of NdTl2Sb2O6 (PBE).

a = 6.372 Å, b = 6.024 Å, c = 8.054 Å
α = 112.88°, β = 90.00°, γ = 121.93°
Sites, in units of the cell vectors:
O1 0.720 0.893 0.275
Sb1 0.942 0.884 0.763
O2 0.826 0.107 0.725
Sb2 0.058 0.116 0.237
O3 0.280 0.107 0.725
Nd1 0.500 0.000 0.500
Tl1 0.717 0.434 0.210
Tl2 0.283 0.566 0.790
O4 0.749 0.498 0.545
O5 0.174 0.893 0.275
O6 0.251 0.502 0.455



(13)
Entry from the Alexandria database: a relaxed structure of Cd2AgIr (PBE).

a = 4.721 Å, b = 3.166 Å, c = 4.808 Å
α = 89.99°, β = 90.00°, γ = 90.00°
Sites, in units of the cell vectors:
Cd1 0.500 0.125 0.340
Ir1 0.000 0.625 0.417
Ag1 0.500 0.625 0.827
Cd2 0.000 0.125 0.915



(14)
Entry from the Alexandria database: a relaxed structure of TbSm5Dy2 (PBE).

Output
- E above lowest polymorph: 0.000 eV per atom

a = 5.082 Å, b = 7.200 Å, c = 14.401 Å
α = 90.00°, β = 90.00°, γ = 90.00°
Sites, in units of the cell vectors:
Sm1 0.500 0.250 0.875
Sm2 0.000 0.500 0.500
Sm3 0.000 0.500 0.249
Sm4 0.500 0.750 0.125
Dy1 0.500 0.250 0.625
Dy2 0.500 0.250 0.125
Tb1 0.000 0.500 0.000
Dy3 0.500 0.750 0.375
Sm5 0.000 0.000 0.749
Sm6 0.500 0.750 0.625
Sm7 0.000 0.000 0.251
Sm8 0.500 0.250 0.375
Dy4 0.500 0.750 0.875
Sm9 0.000 0.500 0.751
Sm10 0.000 0.000 0.000
Tb2 0.000 0.000 0.500



One value per record, in order, for uncorrected energy: -2.370; -2.360; -6.039; -7.083; -6.878; -6.269; -2.935; -3.697; -8.605; -6.726; -2.858; -5.849; -3.286; -4.663 eV/atom.